The following is a DFT calculation (PBE with a Hubbard U) of an optimized crystal structure of Rb2Li3CrF12.

Calculated values
The value obtained for the calculated volume is 822.8 Å³/cell. As for the total energy: -4.31 eV per atom. As for the density of states at the Fermi level: 44.25 states/eV per cell.

a b c (Å): 7.0107 7.0107 19.3309
angles (deg): 90.00 90.00 120.00
Space group R-3m (No. 166, hexagonal axes)
Asymmetric unit:
Rb 0.0000 0.0000 0.1097 x6
Li 0.0000 0.5000 0.0000 x9
Cr 0.0000 0.0000 0.5000 x3
F 0.0667 0.5333 0.3596 x18
F 0.0863 0.5432 0.1129 x18